## w
# Al4Ni3

An optimized crystal structure of Al4Ni3 (PBE, Alexandria via LeMat-Bulk).

Its space group is R-3m, No. 166. Its crystal system is trigonal. As for the total magnetic moment: 0.0000 μB per atom.

Geometry as CIF:
```
data_Al4Ni3
_chemical_formula_sum 'Al4 Ni3'
_cell_length_a 6.9253
_cell_length_b 6.9253
_cell_length_c 6.9253
_cell_angle_alpha 34.11
_cell_angle_beta 34.11
_cell_angle_gamma 34.11
_space_group_name_H-M_alt 'P 1'
_space_group_IT_number 1
loop_
_space_group_symop_operation_xyz
'x,y,z'
loop_
_atom_site_label
_atom_site_type_symbol
_atom_site_fract_x
_atom_site_fract_y
_atom_site_fract_z
Al1 Al 0.1196 0.1196 0.1196
Al2 Al 0.3709 0.3709 0.3709
Al3 Al 0.6291 0.6291 0.6291
Al4 Al 0.8804 0.8804 0.8804
Ni1 Ni 0.2463 0.2463 0.2463
Ni2 Ni 0.5000 0.5000 0.5000
Ni3 Ni 0.7537 0.7537 0.7537
```



## x
# Al4Ni3

An optimized crystal structure of Al4Ni3 (PBE, Alexandria via LeMat-Bulk).

Its space group is P6/mmm, No. 191. Its crystal system is hexagonal. As for the total magnetic moment: 0.0000 μB per atom.

Geometry as CIF:
```
data_Al4Ni3
_chemical_formula_sum 'Al4 Ni3'
_cell_length_a 4.8114
_cell_length_b 4.8114
_cell_length_c 4.6363
_cell_angle_alpha 90.00
_cell_angle_beta 90.00
_cell_angle_gamma 120.00
_space_group_name_H-M_alt 'P 1'
_space_group_IT_number 1
loop_
_space_group_symop_operation_xyz
'x,y,z'
loop_
_atom_site_label
_atom_site_type_symbol
_atom_site_fract_x
_atom_site_fract_y
_atom_site_fract_z
Al1 Al 0.0000 0.0000 0.2464
Al2 Al 0.0000 0.0000 0.7536
Al3 Al 0.3333 0.6667 0.5000
Al4 Al 0.6667 0.3333 0.5000
Ni1 Ni 0.0000 0.5000 0.0000
Ni2 Ni 0.5000 0.0000 0.0000
Ni3 Ni 0.5000 0.5000 0.0000
```



## y
# Al4Ni3

An optimized crystal structure of Al4Ni3 (PBE, Alexandria via LeMat-Bulk).

Its space group is I4/mmm, No. 139. Its crystal system is tetragonal. As for the total magnetic moment: 0.0000 μB per atom.

Geometry as CIF:
```
data_Al4Ni3
_chemical_formula_sum 'Al4 Ni3'
_cell_length_a 9.6576
_cell_length_b 9.6576
_cell_length_c 9.6576
_cell_angle_alpha 161.47
_cell_angle_beta 161.47
_cell_angle_gamma 26.33
_space_group_name_H-M_alt 'P 1'
_space_group_IT_number 1
loop_
_space_group_symop_operation_xyz
'x,y,z'
loop_
_atom_site_label
_atom_site_type_symbol
_atom_site_fract_x
_atom_site_fract_y
_atom_site_fract_z
Al1 Al 0.0699 0.0699 0.0000
Al2 Al 0.3426 0.3426 0.0000
Al3 Al 0.6574 0.6574 0.0000
Al4 Al 0.9301 0.9301 0.0000
Ni1 Ni 0.2086 0.2086 0.0000
Ni2 Ni 0.5000 0.5000 0.0000
Ni3 Ni 0.7914 0.7914 0.0000
```



Most stable: w (next structure +161 meV per atom)